Record 1
DyTmAlTc | PBE | optimized geometry

Properties
E_form in eV/f.u.: -0.7
M_tot in μB per cell: 0.00

Cell: 6.987 6.987 6.987 Å, 90.00 90.00 90.00°
Space group F-43m (No. 216)
Inequivalent atoms, fractional coordinates:
Dy 0.000 0.000 0.000
Tm 0.000 0.000 0.500
Al 0.250 0.250 0.750
Tc 0.250 0.250 0.250

Record 2
DyYAlTc | PBE | optimized geometry

Properties
E_form in eV/f.u.: -0.6
M_tot in μB per cell: 0.00

Cell: 7.042 7.042 7.042 Å, 90.00 90.00 90.00°
Space group F-43m (No. 216)
Inequivalent atoms, fractional coordinates:
Dy 0.000 0.000 0.000
Y 0.000 0.000 0.500
Al 0.250 0.250 0.750
Tc 0.250 0.250 0.250

Record 3
Dy8Al2Te | PBE | optimized geometry

Properties
M_tot in μB per cell: 0.00
Formation energy (no corrections) in eV/f.u.: -3.44

Cell: 19.415 4.932 6.821 Å, 90.00 103.18 90.00°
Space group C2/m (No. 12)
Inequivalent atoms, fractional coordinates:
Dy 0.031 0.000 0.259
Dy 0.098 0.500 0.970
Dy 0.160 0.500 0.481
Dy 0.216 0.000 0.814
Al 0.187 0.000 0.250
Te 0.000 0.500 0.500

Record 4
Dy3AlTe6 | PBE | optimized geometry

Properties
M_tot in μB per cell: 0.00
Formation energy (no corrections) in eV/f.u.: -11.28
Energy relative to the lowest polymorph listed for this composition in eV/atom: 0.0000

Cell: 12.093 14.955 7.248 Å, 90.00 90.00 90.00°
Space group Cmc2_1 (No. 36)
Inequivalent atoms, fractional coordinates:
Dy 0.000 0.095 0.000
Dy 0.181 0.403 0.110
Al 0.000 0.295 0.646
Te 0.000 0.279 0.283
Te 0.000 0.460 0.792
Te 0.164 0.038 0.303
Te 0.170 0.231 0.830

Record 5
Dy4AlTe3 | PBE | optimized geometry

Properties
M_tot in μB per cell: 0.00
Formation energy (no corrections) in eV/f.u.: -8.51

Cell: 8.845 12.327 4.260 Å, 90.00 90.00 90.00°
Space group Cmmm (No. 65)
Inequivalent atoms, fractional coordinates:
Dy 0.000 0.237 0.000
Dy 0.235 0.000 0.500
Al 0.000 0.000 0.000
Te 0.000 0.500 0.000
Te 0.250 0.250 0.500

Record 6
DyAlTe3 | PBE | optimized geometry

Properties
M_tot in μB per cell: 0.00
Formation energy (no corrections) in eV/f.u.: -4.53
Energy relative to the lowest polymorph listed for this composition in eV/atom: 0.0000

Cell: 4.292 25.571 7.171 Å, 90.00 90.00 90.00°
Space group Ama2 (No. 40)
Inequivalent atoms, fractional coordinates:
Dy 0.250 0.173 0.000
Al 0.250 0.370 0.917
Te 0.250 0.080 0.276
Te 0.250 0.276 0.758
Te 0.250 0.382 0.278

Record 7
DyAl2Te4 | PBE | optimized geometry

Properties
M_tot in μB per cell: 1.66
Formation energy (no corrections) in eV/f.u.: -3.43

Cell: 8.219 8.219 6.929 Å, 90.00 90.00 90.00°
Space group I4/m (No. 87)
Inequivalent atoms, fractional coordinates:
Dy 0.000 0.000 0.000
Al 0.000 0.500 0.250
Te 0.168 0.684 0.500

Record 8
Dy3AlTe2 | PBE | optimized geometry

Properties
M_tot in μB per cell: 0.00
Formation energy (no corrections) in eV/f.u.: -5.85

Cell: 4.172 6.124 13.459 Å, 90.00 90.00 90.00°
Space group Immm (No. 71)
Inequivalent atoms, fractional coordinates:
Dy 0.000 0.000 0.000
Dy 0.000 0.000 0.342
Al 0.000 0.500 0.000
Te 0.000 0.500 0.329

Record 9
DyAlTe3 | PBE | optimized geometry

Properties
M_tot in μB per cell: 0.00
Formation energy (no corrections) in eV/f.u.: -4.00
Energy relative to the lowest polymorph listed for this composition in eV/atom: 0.1055

Cell: 7.541 7.835 12.305 Å, 90.00 119.79 90.00°
Space group P2_1/c (No. 14)
Inequivalent atoms, fractional coordinates:
Dy 0.152 0.133 0.215
Al 0.275 0.677 0.124
Te 0.083 0.197 0.933
Te 0.249 0.665 0.905
Te 0.458 0.051 0.807

Record 10
Dy7Al2Te2 | PBE | optimized geometry

Properties
M_tot in μB per cell: 0.00
Formation energy (no corrections) in eV/f.u.: -5.80

Cell: 3.873 16.101 9.965 Å, 90.00 90.00 90.00°
Space group Imm2 (No. 44)
Inequivalent atoms, fractional coordinates:
Dy 0.000 0.000 0.000
Dy 0.000 0.110 0.430
Dy 0.000 0.324 0.658
Dy 0.000 0.356 0.246
Al 0.000 0.000 0.689
Al 0.000 0.500 0.749
Te 0.000 0.239 0.944

Record 11
Dy4AlTe2 | PBE | optimized geometry

Properties
M_tot in μB per cell: 0.00
Formation energy (no corrections) in eV/f.u.: -5.27

Cell: 4.136 13.971 14.487 Å, 90.00 90.00 90.00°
Space group Cmcm (No. 63)
Inequivalent atoms, fractional coordinates:
Dy 0.000 0.000 0.000
Dy 0.000 0.287 0.133
Dy 0.000 0.445 0.750
Al 0.000 0.100 0.750
Te 0.000 0.356 0.563

Record 12
Dy5AlTe4 | PBE | optimized geometry

Properties
M_tot in μB per cell: 0.00
Formation energy (no corrections) in eV/f.u.: -11.27

Cell: 9.743 9.743 6.129 Å, 90.00 90.00 90.00°
Space group I4/m (No. 87)
Inequivalent atoms, fractional coordinates:
Dy 0.000 0.000 0.000
Dy 0.096 0.283 0.500
Al 0.000 0.000 0.500
Te 0.094 0.304 0.000